# VSnHRu2 | Alexandria via LeMat-Bulk | PBE | relaxed
data_VSnHRu2
_chemical_formula_sum 'V1 Sn1 H1 Ru2'
_cell_length_a 4.1298
_cell_length_b 4.1298
_cell_length_c 3.7373
_cell_angle_alpha 90.00
_cell_angle_beta 90.00
_cell_angle_gamma 90.00
_symmetry_space_group_name_H-M 'P 1'
_symmetry_Int_Tables_number 1
loop_
_symmetry_equiv_pos_as_xyz
'x,y,z'
loop_
_atom_site_label
_atom_site_fract_x
_atom_site_fract_y
_atom_site_fract_z
Ru1 0.5000 0.0000 0.0000
Ru2 0.0000 0.5000 0.0000
Sn1 0.5000 0.5000 0.5000
V1 0.0000 0.0000 0.5000
H1 0.0000 0.0000 0.0000
# Density   9.7 g/cm3
# Raw total energy   -7.0418 eV/atom
# Magnetization   1.373 μB per formula unit